{
  "formula": "MnTlF3",
  "functional": "PBE+U",
  "state": "relaxed",
  "cell": [[3.574, 0.000, 0.000], [0.000, 5.657, 0.000], [-0.007, 0.000, 7.861]],
  "species": ["Mn", "Mn", "Tl", "Tl", "F", "F", "F", "F", "F", "F"],
  "fractional_positions": [[0.250, 0.250, 0.095], [0.750, 0.750, 0.905], [0.249, 0.750, 0.373], [0.751, 0.250, 0.627], [0.250, 0.506, 0.878], [0.250, 0.994, 0.878], [0.251, 0.250, 0.367], [0.749, 0.750, 0.633], [0.750, 0.006, 0.122], [0.750, 0.494, 0.122]],
  "energy_ev_per_atom": -5.369,
  "rho_g_cm3": 6.6,
  "n_ef_per_ev_atom": 0.00
}